[1]
A plane-wave DFT calculation with PBE was carried out for a relaxed structure of Re2IrF.

abc: 6.428 6.428 5.307
angles: 52.73 52.73 90.00
Sites, in units of the cell vectors:
Re1 0.584 0.125 0.250
Re2 0.166 0.625 0.250
Re3 0.375 0.416 0.750
Re4 0.875 0.834 0.750
Ir1 0.000 0.000 0.000
Ir2 0.750 0.250 0.500
F1 0.500 0.500 0.000
F2 0.250 0.750 0.500

Values from the calculation:
Energy in eV/atom: -8.347
Energy above the most stable polymorph in this dataset in meV per atom: 330
Total magnetization in μB per atom: 0.00
E_form (uncorrected) in eV per atom: 0.56

***

[2]
A plane-wave DFT calculation with PBE was carried out for a relaxed structure of Re2IrF.

abc: 4.279 4.279 4.279
angles: 60.00 60.00 60.00
Sites, in units of the cell vectors:
Re1 0.250 0.250 0.250
Re2 0.750 0.750 0.750
Ir1 0.500 0.500 0.500
F1 0.000 0.000 0.000

Values from the calculation:
Energy in eV/atom: -8.676
Energy above the most stable polymorph in this dataset in meV per atom: 0
Total magnetization in μB per atom: 0.00
E_form (uncorrected) in eV per atom: 0.23

***

[3]
A plane-wave DFT calculation with PBE was carried out for a relaxed structure of ReIr2RuF.

abc: 4.736 3.802 4.736
angles: 90.00 90.00 90.00
Last column: magnetic moment on the atom in μB.
Sites, in units of the cell vectors:
Re1 0.500 0.500 0.500  2.32
F1 0.000 0.500 0.000  0.01
Ir1 0.000 0.000 0.500  0.02
Ir2 0.500 0.000 0.000  0.14
Ru1 0.000 0.000 0.000  0.02

Values from the calculation:
Energy in eV/atom: -6.975
Total magnetization in μB per atom: 0.58
E_form (uncorrected) in eV per atom: 1.29